# Sr2ZrSe (GGA-PBEsol, optimized geometry)
# Raw formation energy (eV/atom): -0.022
data_Sr2ZrSe
_space_group_name_H-M_alt 'I -4 m 2'
_space_group_IT_number 119
_space_group_name_Hall 'I -4 -2'
_cell_length_a 4.5788
_cell_length_b 4.5788
_cell_length_c 11.4324
_cell_angle_alpha 90.00
_cell_angle_beta 90.00
_cell_angle_gamma 90.00
loop_
_atom_site_label
_atom_site_fract_x
_atom_site_fract_y
_atom_site_fract_z
_atom_site_occupancy
Sr1 0.0000 0.0000 0.0000 1
Sr2 0.0000 0.5000 0.2500 1
Zr1 0.0000 0.0000 0.5000 1
Se1 0.0000 0.5000 0.7500 1